Al2ZnCo: relaxed, GGA-PBE.

Output
V: 15.5 Å³ per atom
D(E_F): 3.31 states/eV/f.u.
E_form: 0.208 eV per atom
ρ: 4.8 Mg/m³
E_tot: -30.07 eV per cell
Symmetry: I-42d (122)

Unit cell a=3.8076 b=3.8076 c=8.9911 alpha=77.78 beta=77.78 gamma=90.00
Closest atoms and distances in Å follow each position.
Fractional coordinates of all 8 atoms:
Zn 0.7500 0.2500 0.5000  4 Al 2.55, 4 Co 2.69
Zn 0.0000 0.0000 0.0000  4 Al 2.55, 4 Co 2.69
Al 0.3750 0.3902 0.7500  2 Co 2.51, 2 Zn 2.55, 4 Al 2.61-2.78
Al 0.8750 0.8598 0.7500  2 Co 2.51, 2 Zn 2.55, 4 Al 2.61-2.78
Al 0.6098 0.1250 0.2500  2 Co 2.51, 2 Zn 2.55, 4 Al 2.61-2.78
Al 0.1402 0.6250 0.2500  2 Co 2.51, 2 Zn 2.55, 4 Al 2.61-2.78
Co 0.5000 0.5000 0.0000  4 Al 2.51, 4 Zn 2.69
Co 0.2500 0.7500 0.5000  4 Al 2.51, 4 Zn 2.69